# 1
First-principles (PBE-GGA) data for a relaxed structure of SmNbFe4, as listed in Alexandria.

It has space group F-43m (No. 216), with a = 7.116 Å, b = 7.116 Å, c = 7.116 Å, α = 90.00°, β = 90.00° and γ = 90.00°. The distinct sites, in fractional coordinates, are Sm at (0.000, 0.000, 0.000), Nb at (0.250, 0.250, 0.750) and Fe at (0.124, 0.124, 0.376).

As for the formation energy: 0.0413 eV/atom. The value obtained for the uncorrected energy is -48.4 eV per formula unit. The value obtained for the volume is 360.35 Å³/cell.

---

# 2
First-principles (PBE-GGA) data for a relaxed structure of NbFeSn2, as listed in Alexandria.

It has space group I-42d (No. 122), with a = 4.090 Å, b = 4.090 Å, c = 19.307 Å, α = 90.00°, β = 90.00° and γ = 90.00°. The distinct sites, in fractional coordinates, are Nb at (0.000, 0.000, 0.000), Fe at (0.000, 0.000, 0.500) and Sn at (0.239, 0.250, 0.625).

For the energy above the most stable polymorph in this dataset, the calculation gives 665 meV/atom. As for the formation energy: 0.6412 eV/atom. The value obtained for the uncorrected energy is -24.0 eV per formula unit. The value obtained for the volume is 322.96 Å³/cell.

---

# 3
First-principles (PBE-GGA) data for a relaxed structure of NbFeSn2, as listed in Alexandria.

It has space group Cm (No. 8), with a = 10.424 Å, b = 3.130 Å, c = 4.977 Å, α = 90.00°, β = 110.24° and γ = 90.00°. The distinct sites, in fractional coordinates, are Nb at (0.000, 0.000, 0.000), Fe at (0.206, 0.500, 0.330), Sn at (0.240, 0.000, 0.843) and Sn at (0.458, 0.000, 0.473).

For the energy above the most stable polymorph in this dataset, the calculation gives 159 meV/atom. As for the formation energy: 0.1351 eV/atom. The value obtained for the uncorrected energy is -26.0 eV per formula unit. The value obtained for the volume is 152.37 Å³/cell.

---

# 4
First-principles (PBE-GGA) data for a relaxed structure of NbFeSn2, as listed in Alexandria.

It has space group Cm (No. 8), with a = 6.131 Å, b = 8.499 Å, c = 3.091 Å, α = 90.00°, β = 106.81° and γ = 90.00°. The distinct sites, in fractional coordinates, are Nb at (0.000, 0.000, 0.000), Fe at (0.361, 0.000, 0.740) and Sn at (0.145, 0.299, 0.435).

For the energy above the most stable polymorph in this dataset, the calculation gives 185 meV/atom. As for the formation energy: 0.1611 eV/atom. The value obtained for the uncorrected energy is -25.9 eV per formula unit. The value obtained for the volume is 154.15 Å³/cell.

---

# 5
First-principles (PBE-GGA) data for a relaxed structure of Nb6FeSn3, as listed in Alexandria.

It has space group C2/m (No. 12), with a = 10.500 Å, b = 6.064 Å, c = 7.175 Å, α = 90.00°, β = 110.71° and γ = 90.00°. The distinct sites, in fractional coordinates, are Nb at (0.117, 0.247, 0.368), Nb at (0.206, 0.500, 0.789), Fe at (0.000, 0.500, 0.500), Sn at (0.000, 0.000, 0.000) and Sn at (0.183, 0.000, 0.753).

As for the formation energy: 0.2884 eV/atom. The value obtained for the uncorrected energy is -78.0 eV per formula unit. The value obtained for the volume is 427.33 Å³/cell.

---

# 6
First-principles (PBE-GGA) data for a relaxed structure of Nb6FeSn, as listed in Alexandria.

It has space group R-3 (No. 148, hexagonal axes), with a = 7.3901 Å, b = 7.3901 Å, c = 9.0440 Å, α = 90.00°, β = 90.00° and γ = 120.00°. The distinct sites, in fractional coordinates, are Nb at (0.0058, 0.2532, 0.2535), Fe at (0.0000, 0.0000, 0.5000) and Sn at (0.0000, 0.0000, 0.0000).

As for the formation energy: -0.0623 eV/atom. The value obtained for the uncorrected energy is -73.4 eV per formula unit. The value obtained for the volume is 427.81 Å³/cell.

---

# 7
First-principles (PBE-GGA) data for a relaxed structure of NbFe2Sn, as listed in Alexandria.

It has space group P4/mmm (No. 123), with a = 4.306 Å, b = 4.306 Å, c = 3.165 Å, α = 90.00°, β = 90.00° and γ = 90.00°. The distinct sites, in fractional coordinates, are Nb at (0.000, 0.000, 0.000), Fe at (0.000, 0.500, 0.500) and Sn at (0.500, 0.500, 0.000).

As for the formation energy: 0.0340 eV/atom. The value obtained for the uncorrected energy is -30.9 eV per formula unit. The value obtained for the volume is 58.69 Å³/cell.

---

# 8
First-principles (PBE-GGA) data for a relaxed structure of NbFeSn2, as listed in Alexandria.

It has space group Pm (No. 6), with a = 4.551 Å, b = 3.208 Å, c = 5.594 Å, α = 90.00°, β = 104.64° and γ = 90.00°. The distinct sites, in fractional coordinates, are Nb at (0.000, 0.000, 0.000), Fe at (0.100, 0.500, 0.362), Sn at (0.453, 0.500, 0.838) and Sn at (0.625, 0.000, 0.394).

For the energy above the most stable polymorph in this dataset, the calculation gives 203 meV/atom. As for the formation energy: 0.1788 eV/atom. The value obtained for the uncorrected energy is -25.8 eV per formula unit. The value obtained for the volume is 79.03 Å³/cell.

---

# 9
First-principles (PBE-GGA) data for a relaxed structure of NbFeSn2, as listed in Alexandria.

It has space group Amm2 (No. 38), with a = 4.256 Å, b = 3.525 Å, c = 10.579 Å, α = 90.00°, β = 90.00° and γ = 90.00°. The distinct sites, in fractional coordinates, are Nb at (0.000, 0.000, 0.000), Fe at (0.500, 0.000, 0.860), Sn at (0.000, 0.000, 0.279) and Sn at (0.500, 0.000, 0.583).

For the energy above the most stable polymorph in this dataset, the calculation gives 155 meV/atom. As for the formation energy: 0.1307 eV/atom. The value obtained for the uncorrected energy is -26.0 eV per formula unit. The value obtained for the volume is 158.71 Å³/cell.

---

# 10
First-principles (PBE-GGA) data for a relaxed structure of Nb2FeSn, as listed in Alexandria.

It has space group I-42d (No. 122), with a = 7.336 Å, b = 7.336 Å, c = 5.481 Å, α = 90.00°, β = 90.00° and γ = 90.00°. The distinct sites, in fractional coordinates, are Nb at (0.188, 0.250, 0.125), Fe at (0.000, 0.000, 0.000) and Sn at (0.000, 0.000, 0.500).

As for the formation energy: 0.2943 eV/atom. The value obtained for the uncorrected energy is -31.4 eV per formula unit. The value obtained for the volume is 294.99 Å³/cell.

---

# 11
First-principles (PBE-GGA) data for a relaxed structure of NbFeSn3, as listed in Alexandria.

It has space group Pm-3m (No. 221), with a = 5.361 Å, b = 5.361 Å, c = 5.361 Å, α = 90.00°, β = 90.00° and γ = 90.00°. The distinct sites, in fractional coordinates, are Nb at (0.000, 0.000, 0.000), Fe at (0.500, 0.500, 0.500) and Sn at (0.000, 0.000, 0.500).

For the energy above the most stable polymorph in this dataset, the calculation gives 194 meV/atom. As for the formation energy: 0.9277 eV/atom. The value obtained for the uncorrected energy is -25.9 eV per formula unit. The value obtained for the volume is 154.09 Å³/cell.

---

# 12
First-principles (PBE-GGA) data for a relaxed structure of NbFeSn2, as listed in Alexandria.

It has space group Fm-3m (No. 225), with a = 6.661 Å, b = 6.661 Å, c = 6.661 Å, α = 90.00°, β = 90.00° and γ = 90.00°. The distinct sites, in fractional coordinates, are Nb at (0.000, 0.000, 0.000), Fe at (0.000, 0.000, 0.500) and Sn at (0.250, 0.250, 0.250).

For the energy above the most stable polymorph in this dataset, the calculation gives 335 meV/atom. As for the formation energy: 0.3113 eV/atom. The value obtained for the uncorrected energy is -25.3 eV per formula unit. The value obtained for the volume is 295.58 Å³/cell.

---

# 13
First-principles (PBE-GGA) data for a relaxed structure of NbFeSn, as listed in Alexandria.

It has space group I4/mmm (No. 139), with a = 3.150 Å, b = 3.150 Å, c = 22.094 Å, α = 90.00°, β = 90.00° and γ = 90.00°. The distinct sites, in fractional coordinates, are Nb at (0.000, 0.000, 0.157), Fe at (0.000, 0.000, 0.281) and Sn at (0.000, 0.000, 0.434).

As for the formation energy: -0.0400 eV/atom. The value obtained for the uncorrected energy is -22.7 eV per formula unit. The value obtained for the volume is 219.25 Å³/cell.